CeU4Os4: optimized geometry, PBE-GGA.

Cell lengths 8.505, 8.505, 4.800 Å; angles 90.00, 90.00, 90.00 degrees
Fractional coordinates of all 18 atoms:
Ce: 0.250 0.250 0.250
Ce: 0.750 0.750 0.750
U: 0.048 0.098 0.696
U: 0.098 0.452 0.804
U: 0.402 0.048 0.804
U: 0.452 0.402 0.696
U: 0.548 0.598 0.304
U: 0.598 0.952 0.196
U: 0.902 0.548 0.196
U: 0.952 0.902 0.304
Os: 0.105 0.793 0.824
Os: 0.207 0.605 0.324
Os: 0.293 0.895 0.324
Os: 0.395 0.707 0.824
Os: 0.605 0.293 0.176
Os: 0.707 0.105 0.676
Os: 0.793 0.395 0.676
Os: 0.895 0.207 0.176

Summary:
The density of states at the Fermi level comes out at 36.8 states/eV per cell. The total energy comes out at -10.59 eV/atom.

---

Ce5UOs4: optimized geometry, PBE-GGA.

Cell lengths 8.033, 8.033, 6.910 Å; angles 101.59, 101.59, 31.88 degrees
Fractional coordinates of all 10 atoms:
Ce: 0.000 0.000 0.000
Ce: 0.318 0.318 0.501
Ce: 0.332 0.332 0.949
Ce: 0.668 0.668 0.051
Ce: 0.682 0.682 0.499
U: 0.000 0.000 0.500
Os: 0.154 0.154 0.759
Os: 0.488 0.488 0.281
Os: 0.512 0.512 0.719
Os: 0.846 0.846 0.241

Summary:
The offset from the most stable computed form is 0.000 eV per atom. The density of states at the Fermi level comes out at 18.2 states/eV per cell.

---

Ce3U2Os3: optimized geometry, PBE-GGA.

Cell lengths 5.609, 5.609, 13.872 Å; angles 90.00, 90.00, 130.80 degrees
Fractional coordinates of all 16 atoms:
Ce: 0.064 0.936 0.750
Ce: 0.133 0.867 0.033
Ce: 0.133 0.867 0.467
Ce: 0.867 0.133 0.533
Ce: 0.867 0.133 0.967
Ce: 0.936 0.064 0.250
U: 0.336 0.664 0.648
U: 0.336 0.664 0.852
U: 0.664 0.336 0.148
U: 0.664 0.336 0.352
Os: 0.228 0.772 0.250
Os: 0.413 0.587 0.092
Os: 0.413 0.587 0.408
Os: 0.587 0.413 0.592
Os: 0.587 0.413 0.908
Os: 0.772 0.228 0.750

Summary:
The density of states at the Fermi level comes out at 29.9 states/eV per cell. The total energy comes out at -9.30 eV/atom.

---

CeUOs4: optimized geometry, PBE-GGA.

Cell lengths 5.365, 5.365, 5.365 Å; angles 60.00, 60.00, 60.00 degrees
Fractional coordinates of all 6 atoms:
Ce: 0.000 0.000 0.000
U: 0.750 0.750 0.750
Os: 0.375 0.375 0.375
Os: 0.375 0.375 0.875
Os: 0.375 0.875 0.375
Os: 0.875 0.375 0.375

Summary:
The density of states at the Fermi level comes out at 10.4 states/eV per cell. The total energy comes out at -10.49 eV/atom.

---

Ce5UOs4: optimized geometry, PBE-GGA.

Cell lengths 8.839, 8.839, 7.568 Å; angles 107.58, 107.58, 26.75 degrees
Fractional coordinates of all 10 atoms:
Ce: 0.000 0.000 0.000
Ce: 0.328 0.328 0.135
Ce: 0.334 0.334 0.641
Ce: 0.666 0.666 0.359
Ce: 0.672 0.672 0.865
U: 0.000 0.000 0.500
Os: 0.175 0.175 0.628
Os: 0.498 0.498 0.253
Os: 0.502 0.502 0.747
Os: 0.825 0.825 0.372

Summary:
The offset from the most stable computed form is 0.094 eV per atom. The density of states at the Fermi level comes out at 19.4 states/eV per cell.

---

Ce2UOs2: optimized geometry, PBE-GGA.

Cell lengths 5.744, 5.744, 7.900 Å; angles 97.66, 97.66, 60.59 degrees
Fractional coordinates of all 10 atoms:
Ce: 0.017 0.282 0.155
Ce: 0.282 0.017 0.655
Ce: 0.718 0.983 0.345
Ce: 0.983 0.718 0.845
U: 0.329 0.671 0.250
U: 0.671 0.329 0.750
Os: 0.242 0.507 0.502
Os: 0.493 0.758 0.998
Os: 0.507 0.242 0.002
Os: 0.758 0.493 0.498

Summary:
The density of states at the Fermi level comes out at 24.3 states/eV per cell. The total energy comes out at -9.27 eV/atom.